Record 1
# Rb2BIrBr6 | the Alexandria database | GGA-PBE | optimized geometry
# - Magnetic moment: 0.000 μB/cell
# - Density: 4.43 g cm⁻³
# - Volume: 32.0 A^3/atom
# - Formation energy from raw total energies: -499 kJ/mol of formula units
data_Rb2BIrBr6
_chemical_formula_sum 'Rb4 B2 Ir2 Br12'
_space_group_name_H-M_alt 'I 4/m m m'
_space_group_IT_number 139
_space_group_name_Hall '-I 4 2'
_cell_length_a 8.267
_cell_length_b 8.267
_cell_length_c 9.368
_cell_angle_alpha 90.00
_cell_angle_beta 90.00
_cell_angle_gamma 90.00
loop_
_atom_site_label
_atom_site_type_symbol
_atom_site_fract_x
_atom_site_fract_y
_atom_site_fract_z
Rb1 Rb 0.000 0.500 0.250
B1 B 0.000 0.000 0.000
Ir1 Ir 0.000 0.000 0.500
Br1 Br 0.000 0.000 0.202
Br2 Br 0.215 0.215 0.500

---

Record 2
# RbBIr2Br | the Alexandria database | GGA-PBE | optimized geometry
# - Magnetic moment: 2.346 μB/cell
# - Density: 7.50 g cm⁻³
# - Volume: 24.8 A^3/atom
# - Formation energy from raw total energies: 235 kJ/mol of formula units
data_RbBIr2Br
_chemical_formula_sum 'Rb1 B1 Ir2 Br1'
_space_group_name_H-M_alt 'P 4/m m m'
_space_group_IT_number 123
_space_group_name_Hall '-P 4 2'
_cell_length_a 4.167
_cell_length_b 4.167
_cell_length_c 7.149
_cell_angle_alpha 90.00
_cell_angle_beta 90.00
_cell_angle_gamma 90.00
loop_
_atom_site_label
_atom_site_type_symbol
_atom_site_fract_x
_atom_site_fract_y
_atom_site_fract_z
Rb1 Rb 0.000 0.000 0.000
B1 B 0.500 0.500 0.500
Ir1 Ir 0.000 0.500 0.500
Br1 Br 0.500 0.500 0.000